No. 1
Compound: KSrCuBr4
Source: Alexandria via LeMat-Bulk
Functional: PBE
Structure: optimized geometry

abc: 7.0252 7.4029 9.1128
angles: 90.00 108.36 90.00
Closest atoms and distances in Å follow each position.
Atoms (fractional coordinates):
K: 0.7560 0.7500 0.9425  6 Br 3.28-3.54
K: 0.2440 0.2500 0.0575  6 Br 3.28-3.54
Sr: 0.7689 0.7500 0.4431  6 Br 3.04-3.18
Sr: 0.2311 0.2500 0.5569  6 Br 3.04-3.18
Cu: 0.2292 0.7500 0.3173  4 Br 2.44-2.48
Cu: 0.7708 0.2500 0.6827  4 Br 2.44-2.48
Br: 0.0106 0.5051 0.7272  1 Cu 2.48
Br: 0.9894 0.0051 0.2728  1 Cu 2.48
Br: 0.9894 0.4949 0.2728  1 Cu 2.48
Br: 0.0106 0.9949 0.7272  1 Cu 2.48
Br: 0.4229 0.7500 0.1374  1 Cu 2.44
Br: 0.5771 0.2500 0.8626  1 Cu 2.44
Br: 0.4371 0.7500 0.5913  1 Cu 2.46
Br: 0.5629 0.2500 0.4087  1 Cu 2.46

Computed properties:
- Size of the total moment: 0.28 μB/cell
- Formation energy (no corrections): -996 kJ/mol of formula units


No. 2
Compound: TaMo3Br
Source: Alexandria via LeMat-Bulk
Functional: PBE
Structure: optimized geometry

abc: 4.5592 4.5592 4.5592
angles: 90.00 90.00 90.00
Closest atoms and distances in Å follow each position.
Atoms (fractional coordinates):
Mo: 0.0000 0.5000 0.0000  2 Br 2.28
Mo: 0.0000 0.0000 0.5000  2 Br 2.28
Mo: 0.5000 0.0000 0.0000  2 Br 2.28
Br: 0.0000 0.0000 0.0000  6 Mo 2.28
Ta: 0.5000 0.5000 0.5000  12 Mo 3.22

Computed properties:
- Size of the total moment: 0.00 μB/cell
- Formation energy (no corrections): 748 kJ/mol of formula units


No. 3
Compound: CeTlP2S7
Source: Alexandria via LeMat-Bulk
Functional: PBE
Structure: optimized geometry

abc: 12.6048 9.1387 9.9331
angles: 89.70 90.00 90.00
Closest atoms and distances in Å follow each position.
Atoms (fractional coordinates):
Ce: 0.6418 0.1095 0.1383  8 S 2.92-3.07
Ce: 0.1418 0.3905 0.8617  8 S 2.92-3.07
Ce: 0.3582 0.8905 0.8617  8 S 2.92-3.07
Ce: 0.8582 0.6095 0.1383  8 S 2.92-3.07
Tl: 0.8146 0.3728 0.5952  7 S 3.25-3.60
Tl: 0.3146 0.1272 0.4048  7 S 3.25-3.60
Tl: 0.1854 0.6272 0.4048  7 S 3.25-3.60
Tl: 0.6854 0.8728 0.5952  7 S 3.25-3.60
P: 0.6032 0.4790 0.2710  4 S 2.02-2.15
P: 0.1032 0.0210 0.7290  4 S 2.02-2.15
P: 0.3968 0.5210 0.7290  4 S 2.02-2.15
P: 0.8968 0.9790 0.2710  4 S 2.02-2.15
P: 0.0358 0.3032 0.1880  4 S 2.03-2.14
P: 0.5358 0.1968 0.8120  4 S 2.03-2.14
P: 0.9642 0.6968 0.8120  4 S 2.03-2.14
P: 0.4642 0.8032 0.1880  4 S 2.03-2.14
S: 0.9421 0.3216 0.0215  1 P 2.04
S: 0.4421 0.1784 0.9785  1 P 2.04
S: 0.0579 0.6784 0.9785  1 P 2.04
S: 0.5579 0.8216 0.0215  1 P 2.04
S: 0.7909 0.1094 0.3672  1 P 2.03
S: 0.2909 0.3906 0.6328  1 P 2.03
S: 0.2091 0.8906 0.6328  1 P 2.03
S: 0.7091 0.6094 0.3672  1 P 2.03
S: 0.5579 0.2906 0.3616  1 P 2.02
S: 0.0579 0.2094 0.6384  1 P 2.02
S: 0.4421 0.7094 0.6384  1 P 2.02
S: 0.9421 0.7906 0.3616  1 P 2.02
S: 0.1905 0.3519 0.1512  1 P 2.03
S: 0.6905 0.1481 0.8488  1 P 2.03
S: 0.8095 0.6481 0.8488  1 P 2.03
S: 0.3095 0.8519 0.1512  1 P 2.03
S: 0.6668 0.4313 0.0872  1 P 2.04
S: 0.1668 0.0687 0.9128  1 P 2.04
S: 0.3332 0.5687 0.9128  1 P 2.04
S: 0.8332 0.9313 0.0872  1 P 2.04
S: 0.0498 0.0804 0.2525  2 P 2.14-2.15
S: 0.5498 0.4196 0.7475  2 P 2.14-2.15
S: 0.9502 0.9196 0.7475  2 P 2.14-2.15
S: 0.4502 0.5804 0.2525  2 P 2.14-2.15
S: 0.9763 0.4345 0.3345  1 P 2.03
S: 0.4763 0.0655 0.6655  1 P 2.03
S: 0.0237 0.5655 0.6655  1 P 2.03
S: 0.5237 0.9345 0.3345  1 P 2.03

Computed properties:
- Size of the total moment: 4.00 μB/cell
- Formation energy (no corrections): -773 kJ/mol of formula units


No. 4
Compound: Sc6ZnIn
Source: Alexandria via LeMat-Bulk
Functional: PBE
Structure: optimized geometry

abc: 4.4686 4.4686 8.8896
angles: 90.00 90.00 90.00
Closest atoms and distances in Å follow each position.
Atoms (fractional coordinates):
Sc: 0.5000 0.5000 0.0000  4 In 3.16, 8 Sc 3.21
Sc: 0.5000 0.5000 0.5000  8 Sc 3.10, 4 Zn 3.16
Sc: 0.5000 0.0000 0.2585  8 Sc 3.10-3.21, 2 Zn 3.10, 2 In 3.21
Sc: 0.5000 0.0000 0.7415  8 Sc 3.10-3.21, 2 Zn 3.10, 2 In 3.21
Sc: 0.0000 0.5000 0.2585  8 Sc 3.10-3.21, 2 Zn 3.10, 2 In 3.21
Sc: 0.0000 0.5000 0.7415  8 Sc 3.10-3.21, 2 Zn 3.10, 2 In 3.21
Zn: 0.0000 0.0000 0.5000  12 Sc 3.10-3.16
In: 0.0000 0.0000 0.0000  12 Sc 3.16-3.21

Computed properties:
- Size of the total moment: 2.23 μB/cell
- Energy: -43.6 eV for the cell shown


No. 5
Compound: YSbPt3
Source: Alexandria via LeMat-Bulk
Functional: PBE
Structure: optimized geometry

abc: 4.9472 4.9472 4.9472
angles: 90.00 90.00 90.00
Closest atoms and distances in Å follow each position.
Atoms (fractional coordinates):
Y: 0.5000 0.5000 0.5000  12 Pt 3.50
Sb: 0.0000 0.0000 0.0000  6 Pt 2.47
Pt: 0.0000 0.5000 0.0000  2 Sb 2.47
Pt: 0.0000 0.0000 0.5000  2 Sb 2.47
Pt: 0.5000 0.0000 0.0000  2 Sb 2.47

Computed properties:
- Size of the total moment: 0.00 μB/cell
- Formation energy (no corrections): -51 kJ/mol of formula units
- E above lowest polymorph: 0.000 eV/atom


No. 6
Compound: ScRhNO2
Source: Alexandria via LeMat-Bulk
Functional: PBE
Structure: optimized geometry

abc: 3.9906 3.9906 3.7269
angles: 90.00 90.00 90.00
Closest atoms and distances in Å follow each position.
Atoms (fractional coordinates):
Sc: 0.5000 0.5000 0.5000  8 O 2.73, 4 N 2.82
Rh: 0.0000 0.0000 0.0000  2 N 1.86, 4 O 2.00
O: 0.0000 0.5000 0.0000  2 Rh 2.00
O: 0.5000 0.0000 0.0000  2 Rh 2.00
N: 0.0000 0.0000 0.5000  2 Rh 1.86

Computed properties:
- Size of the total moment: 0.00 μB/cell
- Formation energy (no corrections): -318 kJ/mol of formula units


No. 7
Compound: AlCrIn2S6
Source: Alexandria via LeMat-Bulk
Functional: PBE
Structure: optimized geometry

abc: 6.4096 8.2061 8.2061
angles: 84.64 83.18 83.18
Closest atoms and distances in Å follow each position.
Atoms (fractional coordinates):
Al: 0.2500 0.2501 0.7499  6 S 2.39-2.46
Al: 0.7500 0.7499 0.2501  6 S 2.39-2.46
Cr: 0.2500 0.9160 0.0840  6 S 2.40-2.47
Cr: 0.7500 0.0840 0.9160  6 S 2.40-2.47
In: 0.2065 0.7817 0.5828  4 S 2.45-2.59
In: 0.2935 0.4172 0.2183  4 S 2.45-2.59
In: 0.7935 0.2183 0.4172  4 S 2.45-2.59
In: 0.7065 0.5828 0.7817  4 S 2.45-2.59
S: 0.1124 0.9807 0.8136  2 Cr 2.45-2.47, 1 Al 2.46, 1 In 2.59
S: 0.3876 0.1864 0.0193  2 Cr 2.45-2.47, 1 Al 2.46, 1 In 2.59
S: 0.8876 0.0193 0.1864  2 Cr 2.45-2.47, 1 Al 2.46, 1 In 2.59
S: 0.6124 0.8136 0.9807  2 Cr 2.45-2.47, 1 Al 2.46, 1 In 2.59
S: 0.4123 0.8926 0.3350  1 Al 2.39, 1 Cr 2.40, 1 In 2.45
S: 0.0877 0.6650 0.1074  1 Al 2.39, 1 Cr 2.40, 1 In 2.45
S: 0.5877 0.1074 0.6650  1 Al 2.39, 1 Cr 2.40, 1 In 2.45
S: 0.9123 0.3350 0.8926  1 Al 2.39, 1 Cr 2.40, 1 In 2.45
S: 0.8521 0.7331 0.5250  1 Al 2.41, 2 In 2.46-2.48
S: 0.6479 0.4750 0.2669  1 Al 2.41, 2 In 2.46-2.48
S: 0.1479 0.2669 0.4750  1 Al 2.41, 2 In 2.46-2.48
S: 0.3521 0.5250 0.7331  1 Al 2.41, 2 In 2.46-2.48

Computed properties:
- Size of the total moment: 5.97 μB/cell
- Formation energy (no corrections): -639 kJ/mol of formula units


No. 8
Compound: Re6Pb6O19
Source: Alexandria via LeMat-Bulk
Functional: PBE
Structure: optimized geometry

abc: 9.4309 9.4309 9.4310
angles: 90.00 90.00 90.00
Closest atoms and distances in Å follow each position.
Atoms (fractional coordinates):
Re: 0.1187 0.5000 0.0000  6 O 2.02-2.03
Re: 0.2493 0.8694 0.5000  6 O 2.02-2.03
Re: 0.2493 0.1306 0.5000  6 O 2.02-2.03
Re: 0.2492 0.4999 0.3694  6 O 2.02-2.03
Re: 0.2492 0.5001 0.6306  6 O 2.02-2.03
Re: 0.3799 0.5000 0.0000  6 O 2.02-2.03
Re: 0.6187 0.0000 0.5000  6 O 2.02-2.03
Re: 0.7492 0.9999 0.1306  6 O 2.02-2.03
Re: 0.7492 0.0001 0.8694  6 O 2.02-2.03
Re: 0.7493 0.3694 0.0000  6 O 2.02-2.03
Re: 0.7493 0.6306 0.0000  6 O 2.02-2.03
Re: 0.8799 0.0000 0.5000  6 O 2.02-2.03
Pb: 0.1031 0.1457 0.1457  4 O 2.38-2.61
Pb: 0.1031 0.8543 0.8543  4 O 2.38-2.61
Pb: 0.3944 0.8543 0.1456  4 O 2.38-2.61
Pb: 0.3944 0.1457 0.8544  4 O 2.38-2.61
Pb: 0.4987 0.2493 0.2494  6 O 2.56-2.57
Pb: 0.4987 0.7507 0.7506  6 O 2.56-2.57
Pb: 0.6031 0.3543 0.6457  4 O 2.38-2.61
Pb: 0.6031 0.6457 0.3543  4 O 2.38-2.61
Pb: 0.8944 0.3543 0.3544  4 O 2.38-2.61
Pb: 0.8944 0.6457 0.6456  4 O 2.38-2.61
Pb: 0.9987 0.2507 0.7494  6 O 2.56-2.57
Pb: 0.9987 0.7493 0.2506  6 O 2.56-2.57
O: 0.0359 0.8535 0.4990  2 Re 2.02
O: 0.0359 0.1465 0.5010  2 Re 2.02
O: 0.0786 0.5000 0.5000  2 Re 2.03
O: 0.1027 0.5009 0.2134  2 Re 2.02
O: 0.1027 0.4991 0.7866  2 Re 2.02
O: 0.2503 0.7134 0.6465  2 Re 2.02
O: 0.2503 0.2866 0.3535  2 Re 2.02
O: 0.2487 0.0000 0.0000  4 Pb 2.38
O: 0.2493 0.6706 0.0000  2 Re 2.03
O: 0.2493 0.3294 0.0000  2 Re 2.03
O: 0.2493 0.0001 0.3294  2 Re 2.03
O: 0.2493 0.9999 0.6706  2 Re 2.03
O: 0.2481 0.2866 0.6467  2 Re 2.02
O: 0.2481 0.7134 0.3533  2 Re 2.02
O: 0.3959 0.5013 0.7865  2 Re 2.02
O: 0.3959 0.4987 0.2135  2 Re 2.02
O: 0.4197 0.5000 0.5000  2 Re 2.03
O: 0.4627 0.8533 0.5012  2 Re 2.02
O: 0.4627 0.1467 0.4988  2 Re 2.02
O: 0.5359 0.3535 0.0010  2 Re 2.02
O: 0.5359 0.6465 0.9990  2 Re 2.02
O: 0.5786 0.0000 0.0000  2 Re 2.03
O: 0.6027 0.0009 0.2866  2 Re 2.02
O: 0.6027 0.9991 0.7134  2 Re 2.02
O: 0.7503 0.7866 0.1465  2 Re 2.02
O: 0.7503 0.2134 0.8535  2 Re 2.02
O: 0.7493 0.8294 0.5000  2 Re 2.03
O: 0.7493 0.1706 0.5000  2 Re 2.03
O: 0.7493 0.4999 0.8294  2 Re 2.03
O: 0.7493 0.5001 0.1706  2 Re 2.03
O: 0.7487 0.5000 0.5000  4 Pb 2.38
O: 0.7481 0.7866 0.8533  2 Re 2.02
O: 0.7481 0.2134 0.1467  2 Re 2.02
O: 0.8959 0.0013 0.7135  2 Re 2.02
O: 0.8959 0.9987 0.2865  2 Re 2.02
O: 0.9197 0.0000 0.0000  2 Re 2.03
O: 0.9627 0.3533 0.9988  2 Re 2.02
O: 0.9627 0.6467 0.0012  2 Re 2.02

Computed properties:
- Size of the total moment: 0.00 μB/cell
- Formation energy (no corrections): -4025 kJ/mol of formula units


No. 9
Compound: CsSrMg2Ir
Source: Alexandria via LeMat-Bulk
Functional: PBE
Structure: optimized geometry

abc: 5.3751 5.3751 5.7602
angles: 90.00 90.00 90.00
Closest atoms and distances in Å follow each position.
Atoms (fractional coordinates):
Cs: 0.5000 0.5000 0.5000  4 Sr 3.80, 8 Mg 3.94
Sr: 0.0000 0.0000 0.5000  2 Ir 2.88
Mg: 0.0000 0.5000 0.0000  2 Ir 2.69
Mg: 0.5000 0.0000 0.0000  2 Ir 2.69
Ir: 0.0000 0.0000 0.0000  4 Mg 2.69, 2 Sr 2.88

Computed properties:
- Size of the total moment: 0.00 μB/cell
- Energy: -14.5 eV for the cell shown


No. 10
Compound: CuC3
Source: Alexandria via LeMat-Bulk
Functional: PBE
Structure: optimized geometry

abc: 4.0587 4.0587 4.0587
angles: 90.00 90.00 90.00
Closest atoms and distances in Å follow each position.
Atoms (fractional coordinates):
Cu: 0.0000 0.0000 0.0000  12 C 2.27
Cu: 0.5000 0.5000 0.5000  12 C 2.27
C: 0.7500 0.5000 0.0000  2 C 2.03, 4 Cu 2.27
C: 0.2500 0.5000 0.0000  2 C 2.03, 4 Cu 2.27
C: 0.0000 0.7500 0.5000  2 C 2.03, 4 Cu 2.27
C: 0.0000 0.2500 0.5000  2 C 2.03, 4 Cu 2.27
C: 0.5000 0.0000 0.2500  2 C 2.03, 4 Cu 2.27
C: 0.5000 0.0000 0.7500  2 C 2.03, 4 Cu 2.27

Computed properties:
- Size of the total moment: 0.00 μB/cell
- E above lowest polymorph: 2.572 eV/atom


No. 11
Compound: Tc2SbAs
Source: Alexandria via LeMat-Bulk
Functional: PBE
Structure: optimized geometry

abc: 4.7239 3.1181 4.6001
angles: 90.07 90.00 90.00
Closest atoms and distances in Å follow each position.
Atoms (fractional coordinates):
Sb: 0.5000 0.8753 0.7483  6 Tc 2.72-2.81
As: 0.0000 0.3754 0.4699  4 Tc 2.52-2.59
Tc: 0.0000 0.8743 0.0403  2 As 2.52, 2 Sb 2.72
Tc: 0.5000 0.3750 0.2414  2 As 2.59, 4 Sb 2.75-2.81

Computed properties:
- Size of the total moment: 0.00 μB/cell
- Formation energy (no corrections): 24 kJ/mol of formula units
- E above lowest polymorph: 0.055 eV/atom


No. 12
Compound: Ca2CdO3
Source: Alexandria via LeMat-Bulk
Functional: PBE
Structure: optimized geometry

abc: 4.8205 6.8990 6.8990
angles: 120.34 90.00 90.00
Closest atoms and distances in Å follow each position.
Atoms (fractional coordinates):
Ca: 0.4930 0.8357 0.5071  5 O 2.28-2.41
Ca: 0.9930 0.4929 0.1643  5 O 2.28-2.41
Ca: 0.4930 0.5071 0.8357  5 O 2.28-2.41
Ca: 0.9930 0.1643 0.4929  5 O 2.28-2.41
Cd: 0.9930 0.8317 0.8317  5 O 2.26-2.41
Cd: 0.4930 0.1683 0.1683  5 O 2.26-2.41
O: 0.9930 0.8320 0.4985  1 Cd 2.30, 4 Ca 2.31-2.41
O: 0.4930 0.5015 0.1680  1 Cd 2.30, 4 Ca 2.31-2.41
O: 0.9930 0.4985 0.8320  1 Cd 2.30, 4 Ca 2.31-2.41
O: 0.4930 0.1680 0.5015  1 Cd 2.30, 4 Ca 2.31-2.41
O: 0.4930 0.8387 0.8387  3 Cd 2.26-2.41, 2 Ca 2.28
O: 0.9930 0.1613 0.1613  3 Cd 2.26-2.41, 2 Ca 2.28

Computed properties:
- Size of the total moment: 0.00 μB/cell
- Formation energy (no corrections): -1321 kJ/mol of formula units
- E above lowest polymorph: 0.050 eV/atom